The following is a GGA+U calculation of an optimized crystal structure of MgNiNO2, from the Alexandria database.

As for the total energy: -10.8 eV for the cell shown.

Unit cell a=5.9125 b=5.9125 c=5.9047 alpha=90.00 beta=90.00 gamma=90.00
Space group P4/mmm (No. 123)
One atom of each set of equivalent atoms:
Mg1 0.0000 0.0000 0.0000 [1 per cell]
Ni1 0.5000 0.5000 0.5000 [1 per cell]
N1 0.0000 0.0000 0.5000 [1 per cell]
O1 0.0000 0.5000 0.0000 [2 per cell]